[1]
The following is a PBE-GGA calculation of an optimized crystal structure of Ta3OsRh, from Alexandria via LeMat-Bulk.

Unit cell a=4.7873 b=4.7873 c=4.7873 alpha=90.00 beta=90.00 gamma=90.00
With the nearest neighbours (Å) after each atom.
Positions (direct):
Ta 0.0000 0.0000 0.5000  2 Os 2.39
Ta 0.0000 0.5000 0.0000  2 Os 2.39
Ta 0.5000 0.0000 0.0000  2 Os 2.39
Os 0.0000 0.0000 0.0000  6 Ta 2.39
Rh 0.5000 0.5000 0.5000  12 Ta 3.39

- VASP energy: -9.587 eV/atom
- Distance to the lowest polymorph of the same formula: 0.000 eV per atom
- Space group: Pm-3m, No. 221
- DFT formation energy: 6.206 eV/f.u.

[2]
The following is a PBE-GGA calculation of an optimized crystal structure of TaOsRh, from Alexandria via LeMat-Bulk.

Unit cell a=4.4380 b=4.4380 c=2.7449 alpha=90.00 beta=90.00 gamma=120.00
With the nearest neighbours (Å) after each atom.
Positions (direct):
Ta 0.0000 0.0000 0.0000  3 Rh 2.57, 2 Ta 2.74, 3 Os 2.81
Os 0.6667 0.3333 0.4237  2 Os 2.74, 6 Ta 2.81-3.01, 6 Rh 2.90-2.91
Rh 0.3333 0.6667 0.9188  3 Ta 2.57, 2 Rh 2.74

- VASP energy: -10.264 eV/atom
- Distance to the lowest polymorph of the same formula: 0.235 eV per atom
- Space group: P3m1, No. 156
- DFT formation energy: -0.357 eV/f.u.

[3]
The following is a PBE-GGA calculation of an optimized crystal structure of TaOsRh2, from Alexandria via LeMat-Bulk.

Unit cell a=4.8212 b=4.8212 c=4.8212 alpha=132.44 beta=132.44 gamma=69.54
With the nearest neighbours (Å) after each atom.
Positions (direct):
Ta 0.0000 0.0000 0.0000  4 Os 2.75, 8 Rh 2.78
Os 0.5000 0.5000 0.0000  4 Ta 2.75, 8 Rh 2.78
Rh 0.2500 0.7500 0.5000  4 Rh 2.75, 4 Ta 2.78, 4 Os 2.78
Rh 0.7500 0.2500 0.5000  4 Rh 2.75, 4 Ta 2.78, 4 Os 2.78

- VASP energy: -9.808 eV/atom
- Distance to the lowest polymorph of the same formula: 0.065 eV per atom
- Space group: I4/mmm, No. 139
- DFT formation energy: -1.447 eV/f.u.

[4]
The following is a PBE-GGA calculation of an optimized crystal structure of Ta2Os2Rh, from Alexandria via LeMat-Bulk.

Unit cell a=7.4014 b=7.4014 c=3.0490 alpha=90.00 beta=90.00 gamma=90.00
With the nearest neighbours (Å) after each atom.
Positions (direct):
Ta 0.1628 0.3372 0.0000  6 Os 2.60-2.69
Ta 0.3372 0.8372 0.0000  6 Os 2.60-2.69
Ta 0.6628 0.1628 0.0000  6 Os 2.60-2.69
Ta 0.8372 0.6628 0.0000  6 Os 2.60-2.69
Os 0.1358 0.6358 0.5000  6 Ta 2.60-2.69, 1 Os 2.84, 2 Rh 2.88
Os 0.3642 0.1358 0.5000  6 Ta 2.60-2.69, 1 Os 2.84, 2 Rh 2.88
Os 0.6358 0.8642 0.5000  6 Ta 2.60-2.69, 1 Os 2.84, 2 Rh 2.88
Os 0.8642 0.3642 0.5000  6 Ta 2.60-2.69, 1 Os 2.84, 2 Rh 2.88
Rh 0.0000 0.0000 0.5000  4 Os 2.88, 2 Rh 3.05, 8 Ta 3.16
Rh 0.5000 0.5000 0.5000  4 Os 2.88, 2 Rh 3.05, 8 Ta 3.16

- VASP energy: -10.746 eV/atom
- Space group: P4/mbm, No. 127
- DFT formation energy: -0.215 eV/f.u.